Record 1
This record from OQMD via LeMat-Bulk describes a relaxed SmBi crystal. The functional is PBE-GGA.

Calculated values
ΔE to the lowest computed polymorph	335.9	meV/atom

a = 6.6532 Å, b = 6.1699 Å, c = 6.2114 Å
α = 90.00°, β = 90.00°, γ = 90.00°
Positions (direct):
Sm: 0.0000 0.5000 0.5000
Bi: 0.7500 0.5000 0.0177
Bi: 0.2500 0.5000 0.9823
Sm: 0.7500 0.0000 0.1827
Sm: 0.2500 0.0000 0.8173
Bi: 0.7500 0.0000 0.6770
Sm: 0.5000 0.5000 0.5000
Bi: 0.2500 0.0000 0.3230

***

Record 2
This record from OQMD via LeMat-Bulk describes a relaxed CoGeMoPt crystal. The functional is PBE-GGA.

Calculated values
ΔE to the lowest computed polymorph	227.1	meV/atom

a = 4.3567 Å, b = 4.3567 Å, c = 4.3567 Å
α = 60.00°, β = 60.00°, γ = 60.00°
Each line ends with the local moment (μB).
Positions (direct):
Mo: 0.5000 0.5000 0.5000  0.34
Ge: 0.0000 0.0000 0.0000  0.00
Co: 0.7500 0.7500 0.7500  1.02
Pt: 0.2500 0.2500 0.2500  -0.03

***

Record 3
This record from OQMD via LeMat-Bulk describes a relaxed HfCdOs crystal. The functional is PBE-GGA.

Calculated values
E_form	204	meV/atom
ΔE to the lowest computed polymorph	0.0	meV/atom

a = 4.5006 Å, b = 4.5006 Å, c = 4.5006 Å
α = 60.00°, β = 60.00°, γ = 60.00°
Positions (direct):
Hf: 0.7500 0.7500 0.7500
Os: 0.0000 0.0000 0.0000
Cd: 0.2500 0.2500 0.2500